{"formula": "Ge2Ru2Se", "functional": "GGA-PBE", "state": "optimized geometry", "lattice_angstrom": [[7.286, 0.000, 0.000], [0.000, 7.286, 0.000], [0.000, 0.000, 2.954]], "species": ["Ru", "Ru", "Ru", "Ru", "Ge", "Ge", "Ge", "Ge", "Se", "Se"], "frac_coords": [[0.348, 0.848, 0.000], [0.848, 0.652, 0.000], [0.652, 0.152, 0.000], [0.152, 0.348, 0.000], [0.142, 0.642, 0.500], [0.642, 0.858, 0.500], [0.858, 0.358, 0.500], [0.358, 0.142, 0.500], [0.000, 0.000, 0.000], [0.500, 0.500, 0.000]], "mass_density_g_cm3": 9.03, "space_group": "P4/mbm", "formation_energy_uncorrected_ev_per_atom": -0.0607, "dft_energy_ev_per_cell": -63.15, "total_magnetization_mub_per_fu": 0.00}



{"formula": "GeRuSe3", "functional": "GGA-PBE", "state": "optimized geometry", "lattice_angstrom": [[4.944, 0.000, 0.000], [0.000, 4.944, 0.000], [0.000, 0.000, 4.944]], "species": ["Ru", "Ge", "Se", "Se", "Se"], "frac_coords": [[0.500, 0.500, 0.500], [0.000, 0.000, 0.000], [0.000, 0.500, 0.000], [0.000, 0.000, 0.500], [0.500, 0.000, 0.000]], "mass_density_g_cm3": 5.64, "space_group": "Pm-3m", "formation_energy_uncorrected_ev_per_atom": 1.0301, "dft_energy_ev_per_cell": -19.20, "total_magnetization_mub_per_fu": 3.45}



{"formula": "GeRu3Se", "functional": "GGA-PBE", "state": "optimized geometry", "lattice_angstrom": [[4.544, 0.000, 0.000], [0.000, 4.544, 0.000], [0.000, 0.000, 4.544]], "species": ["Ru", "Ru", "Ru", "Ge", "Se"], "frac_coords": [[0.000, 0.500, 0.000], [0.000, 0.000, 0.500], [0.500, 0.000, 0.000], [0.500, 0.500, 0.500], [0.000, 0.000, 0.000]], "mass_density_g_cm3": 8.05, "space_group": "Pm-3m", "formation_energy_uncorrected_ev_per_atom": 1.0375, "dft_energy_ev_per_cell": -30.74, "total_magnetization_mub_per_fu": 0.00}